Here is a relaxed Ca6SnPb3 crystal from Alexandria. Energies are from PBE.

It has space group Pnnm (No. 58), with a = 9.432 Å, b = 12.840 Å, c = 5.387 Å, α = 90.00°, β = 90.00° and γ = 90.00°. The distinct sites, in fractional coordinates, are Ca at (0.020, 0.247, 0.000), Ca at (0.162, 0.088, 0.500), Ca at (0.182, 0.411, 0.500), Sn at (0.000, 0.000, 0.000), Pb at (0.000, 0.500, 0.000) and Pb at (0.143, 0.704, 0.500).

Its total energy is -3.212 eV/atom. Its formation energy is -0.498 eV per atom. The total magnetization comes out at 0.0 μB/f.u.